[1]
Material: Y3Th2UN6
Method: DFT, PBE-GGA
State: optimized geometry

Unit cell a=6.135 b=6.135 c=6.101 alpha=99.60 beta=99.60 gamma=120.00
Atoms (fractional coordinates):
Y  0.000  0.000  0.000
Y  0.334  0.666  0.000
Y  0.666  0.334  0.000
Th  0.167  0.833  0.500
Th  0.833  0.167  0.500
U  0.500  0.500  0.500
N  0.106  0.419  0.256
N  0.270  0.270  0.741
N  0.419  0.106  0.256
N  0.581  0.894  0.744
N  0.730  0.730  0.259
N  0.894  0.581  0.744

Results
V = 15.62 A^3/atom
size of the total moment = 0.00 μB/f.u.
total energy = -9.527 eV per atom
space group = C2/m


[2]
Material: YLuMnAg
Method: DFT, PBE-GGA
State: optimized geometry

Unit cell a=7.140 b=7.140 c=7.140 alpha=90.00 beta=90.00 gamma=90.00
Atoms (fractional coordinates):
Y  0.000  0.000  0.000
Y  0.000  0.500  0.500
Y  0.500  0.000  0.500
Y  0.500  0.500  0.000
Lu  0.000  0.000  0.500
Lu  0.000  0.500  0.000
Lu  0.500  0.000  0.000
Lu  0.500  0.500  0.500
Mn  0.250  0.250  0.250
Mn  0.250  0.750  0.750
Mn  0.750  0.250  0.750
Mn  0.750  0.750  0.250
Ag  0.250  0.250  0.750
Ag  0.250  0.750  0.250
Ag  0.750  0.250  0.250
Ag  0.750  0.750  0.750

Results
calculated formation energy = -0.018 eV per atom
V = 22.75 A^3/atom
size of the total moment = 3.48 μB/f.u.
total energy = -5.769 eV per atom
space group = F-43m


[3]
Material: AcTbBi2S6
Method: DFT, PBE-GGA
State: optimized geometry

Unit cell a=7.582 b=7.582 c=7.582 alpha=56.85 beta=56.85 gamma=56.85
Atoms (fractional coordinates):
Ac  0.000  0.000  0.000
Tb  0.492  0.492  0.492
Bi  0.288  0.288  0.288
Bi  0.794  0.794  0.794
S  0.095  0.666  0.416
S  0.199  0.588  0.883
S  0.416  0.095  0.666
S  0.588  0.883  0.199
S  0.666  0.416  0.095
S  0.883  0.199  0.588

Results
V = 28.58 A^3/atom
size of the total moment = 0.00 μB/f.u.
total energy = -5.333 eV per atom
space group = R3


[4]
Material: Ac2H7
Method: DFT, PBE-GGA
State: optimized geometry

Unit cell a=4.088 b=4.088 c=7.193 alpha=90.00 beta=90.00 gamma=120.00
Atoms (fractional coordinates):
Ac  0.333  0.667  0.257
Ac  0.667  0.333  0.743
H  0.000  0.000  0.185
H  0.000  0.000  0.500
H  0.000  0.000  0.815
H  0.333  0.667  0.600
H  0.333  0.667  0.895
H  0.667  0.333  0.105
H  0.667  0.333  0.400

Results
V = 11.57 A^3/atom
size of the total moment = 0.00 μB/f.u.
total energy = -3.879 eV per atom
space group = P-3m1


[5]
Material: K2BiSb2O6
Method: DFT, PBE-GGA
State: optimized geometry

Unit cell a=5.935 b=5.935 c=7.418 alpha=111.42 beta=111.42 gamma=65.01
Atoms (fractional coordinates):
K  0.195  0.195  0.134
K  0.805  0.805  0.866
Bi  0.000  0.000  0.500
Sb  0.429  0.429  0.761
Sb  0.571  0.571  0.239
O  0.209  0.695  0.244
O  0.245  0.245  0.521
O  0.305  0.791  0.756
O  0.695  0.209  0.244
O  0.755  0.755  0.479
O  0.791  0.305  0.756

Results
V = 19.41 A^3/atom
size of the total moment = 0.96 μB/f.u.
total energy = -5.316 eV per atom
space group = C2/m


[6]
Material: KCu4Se3O12
Method: DFT, PBE-GGA
State: optimized geometry

Unit cell a=6.591 b=6.591 c=6.591 alpha=109.47 beta=109.47 gamma=109.47
Atoms (fractional coordinates):
K  0.000  0.000  0.000
Cu  0.000  0.000  0.500
Cu  0.000  0.500  0.000
Cu  0.500  0.000  0.000
Cu  0.500  0.500  0.500
Se  0.000  0.500  0.500
Se  0.500  0.000  0.500
Se  0.500  0.500  0.000
O  0.157  0.830  0.327
O  0.170  0.327  0.498
O  0.170  0.673  0.843
O  0.327  0.157  0.830
O  0.327  0.498  0.170
O  0.498  0.170  0.327
O  0.502  0.830  0.673
O  0.673  0.502  0.830
O  0.673  0.843  0.170
O  0.830  0.327  0.157
O  0.830  0.673  0.502
O  0.843  0.170  0.673

Results
V = 11.02 A^3/atom
size of the total moment = 0.00 μB/f.u.
total energy = -4.808 eV per atom
space group = Im-3


[7]
Material: CaOsPt2
Method: DFT, PBE-GGA
State: optimized geometry

Unit cell a=4.124 b=4.124 c=8.001 alpha=90.00 beta=90.00 gamma=90.00
Atoms (fractional coordinates):
Ca  0.000  0.000  0.000
Ca  0.500  0.500  0.500
Os  0.000  0.000  0.500
Os  0.500  0.500  0.000
Pt  0.000  0.500  0.250
Pt  0.000  0.500  0.750
Pt  0.500  0.000  0.250
Pt  0.500  0.000  0.750

Results
E above lowest polymorph = 248 meV per atom
calculated formation energy = 0.083 eV per atom
V = 17.01 A^3/atom
size of the total moment = 0.00 μB/f.u.
total energy = -6.245 eV per atom
space group = I4/mmm